Density functional theory data (PBE-GGA) for a relaxed HfSnB crystal.

Cell lengths 4.389, 4.389, 6.062 Å; angles 90.00, 90.00, 90.00 degrees
Sites, in units of the cell vectors:
Hf 0.000 0.500 0.388
Hf 0.500 0.000 0.612
Sn 0.000 0.500 0.880
B 0.500 0.500 0.500
B 0.000 0.000 0.500
Sn 0.500 0.000 0.120


Density functional theory data (PBE-GGA) for a relaxed ReTc2Ir crystal.

Cell lengths 3.263, 3.263, 5.614 Å; angles 90.00, 90.00, 90.00 degrees
Sites, in units of the cell vectors:
Re 0.500 0.500 0.750
Ir 0.500 0.500 0.250
Tc 0.000 0.000 0.010
Tc 0.000 0.000 0.490

ΔE to the lowest computed polymorph: 440 meV per atom


Density functional theory data (PBE-GGA) for a relaxed LaHf3As crystal.

Cell lengths 5.102, 5.102, 5.102 Å; angles 90.00, 90.00, 90.00 degrees
Sites, in units of the cell vectors:
Hf 0.500 0.000 0.000
La 0.500 0.500 0.500
Hf 0.000 0.500 0.000
As 0.000 0.000 0.000
Hf 0.000 0.000 0.500

ΔE to the lowest computed polymorph: 0 meV per atom


Density functional theory data (PBE-GGA) for a relaxed Sm2Be4NiPt3 crystal.

Cell lengths 3.989, 3.989, 9.636 Å; angles 90.00, 90.00, 90.00 degrees
Sites, in units of the cell vectors:
Be 0.000 0.000 0.000
Ni 0.500 0.500 0.500
Sm 0.500 0.000 0.254
Be 0.000 0.500 0.382
Sm 0.000 0.500 0.746
Be 0.500 0.000 0.618
Be 0.500 0.500 0.000
Pt 0.000 0.000 0.500
Pt 0.000 0.500 0.128
Pt 0.500 0.000 0.872


no.,formation energy (meV per atom),density of states at the Fermi level (states/eV/atom)
1,113.7,0.293
2,261.5,1.353
3,35.5,1.101
4,-750.8,0.567